This record from the Alexandria database describes a relaxed structure of SrV2P4O14. The functional is PBE+U.

The structure in CIF format:
```
data_SrV2P4O14
_chemical_formula_sum 'Sr1 V2 P4 O14'
_cell_length_a 4.891
_cell_length_b 7.188
_cell_length_c 8.072
_cell_angle_alpha 89.42
_cell_angle_beta 87.18
_cell_angle_gamma 74.09
_symmetry_space_group_name_H-M 'P -1'
_symmetry_Int_Tables_number 2
_symmetry_space_group_name_Hall '-P 1'
loop_
_atom_site_label
_atom_site_type_symbol
_atom_site_fract_x
_atom_site_fract_y
_atom_site_fract_z
Sr1 Sr 0.000 0.000 0.000
V1 V 0.000 0.000 0.500
V2 V 0.500 0.500 0.000
P1 P 0.017 0.388 0.249
P2 P 0.384 0.222 0.708
O1 O 0.079 0.213 0.360
O2 O 0.133 0.654 0.906
O3 O 0.180 0.092 0.711
O4 O 0.208 0.438 0.654
O5 O 0.282 0.452 0.202
O6 O 0.378 0.833 0.424
O7 O 0.483 0.234 0.887
```

Uncorrected energy: -7.498 eV per atom